Record 1
GGA-PBE Ac5La, relaxed; DFT formation energy = 0.0168 eV/atom; calculated density = 8050 kg/m³; raw total energy = -4.2281 eV per atom
1.0
-2.643 4.854 0.898
-1.512 -1.762 5.075
7.809 4.124 0.690
Ac La
5 1
Direct
0.000 0.665 0.329 Ac
0.000 0.335 0.671 Ac
0.500 0.500 0.000 Ac
0.500 0.165 0.331 Ac
0.500 0.835 0.669 Ac
0.000 0.000 0.000 La

Record 2
GGA-PBE CoTc2Rh, relaxed; energy above the most stable polymorph in this dataset = 308 meV per atom; DFT formation energy = 0.2284 eV/atom; calculated density = 10740 kg/m³; raw total energy = -8.5689 eV per atom
1.0
-1.151 2.764 0.974
-1.650 0.253 -2.669
-4.293 -2.636 2.405
Co Rh Tc
1 1 2
Direct
0.500 0.500 0.250 Co
0.500 0.500 0.750 Rh
0.000 0.000 0.037 Tc
0.000 0.000 0.463 Tc

Record 3
GGA-PBE Ce3PuS6, relaxed; calculated density = 5445 kg/m³; raw total energy = -7.5323 eV per atom
1.0
8.074 -0.028 -1.311
-1.536 7.927 -1.311
-0.023 -0.028 8.180
Ce Pu S
6 2 12
Direct
0.113 0.621 0.287 Ce
0.287 0.113 0.621 Ce
0.379 0.713 0.887 Ce
0.621 0.287 0.113 Ce
0.713 0.887 0.379 Ce
0.887 0.379 0.713 Ce
0.000 0.000 0.000 Pu
0.500 0.500 0.500 Pu
0.053 0.678 0.939 S
0.061 0.947 0.322 S
0.183 0.426 0.571 S
0.322 0.061 0.947 S
0.426 0.571 0.183 S
0.429 0.817 0.574 S
0.571 0.183 0.426 S
0.574 0.429 0.817 S
0.678 0.939 0.053 S
0.817 0.574 0.429 S
0.939 0.053 0.678 S
0.947 0.322 0.061 S

Record 4
GGA-PBE Tb2ThCo2, relaxed; DFT formation energy = -0.2519 eV/atom; calculated density = 9780 kg/m³; raw total energy = -6.4303 eV per atom
1.0
-2.899 -4.548 2.826
2.420 -0.910 -5.543
5.794 -1.202 4.009
Tb Th Co
4 2 4
Direct
0.551 0.311 0.152 Tb
0.240 0.689 0.348 Tb
0.449 0.689 0.848 Tb
0.760 0.311 0.652 Tb
0.915 0.000 0.250 Th
0.085 0.000 0.750 Th
0.688 0.688 0.491 Co
0.000 0.312 0.009 Co
0.312 0.312 0.509 Co
0.000 0.688 0.991 Co

Record 5
GGA-PBE LaTlCu2, relaxed; DFT formation energy = 0.0306 eV/atom; calculated density = 8830 kg/m³; raw total energy = -3.8409 eV per atom
1.0
7.804 -0.004 -0.009
-2.997 3.809 0.007
1.809 1.431 2.977
Cu La Tl
2 1 1
Direct
0.000 0.000 0.000 Cu
0.500 0.000 0.500 Cu
0.000 0.500 0.500 La
0.500 0.500 0.000 Tl

Record 6
GGA-PBE PrLuMg2, relaxed; energy above the most stable polymorph in this dataset = 0 meV per atom; DFT formation energy = -0.0858 eV/atom; calculated density = 5427 kg/m³; raw total energy = -3.2083 eV per atom
1.0
5.403 0.000 0.000
2.701 4.679 0.000
2.701 1.560 4.411
Pr Mg Lu
1 2 1
Direct
0.500 0.500 0.500 Pr
0.250 0.250 0.250 Mg
0.750 0.750 0.750 Mg
0.000 0.000 0.000 Lu

Question: What is the formula in the sixth record?
Answer: PrLuMg2